# GGA+U BaCrPbO4, optimized geometry
data_BaCrPbO4
_cell_length_a 9.2545
_cell_length_b 9.2545
_cell_length_c 9.2545
_cell_angle_alpha 90.00
_cell_angle_beta 90.00
_cell_angle_gamma 90.00
_symmetry_space_group_name_H-M 'F -4 3 m'
_symmetry_Int_Tables_number 216
_symmetry_space_group_name_Hall 'F -4 2 3'
loop_
_atom_site_label
_atom_site_type_symbol
_atom_site_fract_x
_atom_site_fract_y
_atom_site_fract_z
Ba1 Ba 0.0000 0.0000 0.0000
Cr1 Cr 0.0000 0.0000 0.5000
Pb1 Pb 0.2500 0.2500 0.7500
O1 O 0.1114 0.1114 0.6114
# N(E_F) (states/eV/atom): 0.00
# Total moment (μB/f.u.): 2.00
# Calculated total energy (eV/atom): -5.994